The following is a DFT calculation (PBE-GGA) of crystalline Ba2SmBi3Pd4 at its relaxed geometry.

VASP energy, eV/atom: -4.79
Energy relative to the elements, eV/atom: -0.691
Density of states at the Fermi level, states/eV per cell: 5.74
Symmetry: P-4m2 (115)

Unit cell a=4.848 b=4.848 c=11.716 alpha=90.00 beta=90.00 gamma=90.00
Fractional positions:
Ba: 0.500 0.000 0.226
Ba: 0.000 0.500 0.774
Sm: 0.500 0.500 0.500
Bi: 0.000 0.000 0.500
Bi: 0.500 0.000 0.878
Bi: 0.000 0.500 0.122
Pd: 0.500 0.500 0.000
Pd: 0.000 0.000 0.000
Pd: 0.500 0.000 0.640
Pd: 0.000 0.500 0.360

---

The following is a DFT calculation (PBE-GGA) of crystalline Ba2SnBiPd6 at its relaxed geometry.

VASP energy, eV/atom: -4.82
Energy relative to the elements, eV/atom: -0.533
Density of states at the Fermi level, states/eV per cell: 4.29
Symmetry: C2/m (12)

Unit cell a=7.123 b=7.286 c=9.022 alpha=50.43 beta=52.05 gamma=83.65
Fractional positions:
Ba: 0.752 0.248 0.537
Ba: 0.248 0.752 0.463
Sn: 0.500 0.500 0.000
Bi: 0.000 0.000 0.000
Pd: 0.275 0.231 0.494
Pd: 0.769 0.725 0.000
Pd: 0.253 0.747 0.850
Pd: 0.747 0.253 0.150
Pd: 0.231 0.275 0.000
Pd: 0.725 0.769 0.506

---

The following is a DFT calculation (PBE-GGA) of crystalline Ba2SnBiPd at its relaxed geometry.

VASP energy, eV/atom: -3.99
Energy relative to the elements, eV/atom: -0.603
Density of states at the Fermi level, states/eV per cell: 2.25
Symmetry: P4/mmm (123)

Unit cell a=6.100 b=6.100 c=5.114 alpha=90.00 beta=90.00 gamma=90.00
Fractional positions:
Pd: 0.000 0.000 0.000
Bi: 0.500 0.500 0.500
Sn: 0.000 0.000 0.500
Ba: 0.000 0.500 0.000
Ba: 0.500 0.000 0.000

---

The following is a DFT calculation (PBE-GGA) of crystalline Ba2Sn4BiPd3 at its relaxed geometry.

VASP energy, eV/atom: -4.53
Energy relative to the elements, eV/atom: -0.596
Density of states at the Fermi level, states/eV per cell: 5.08
Symmetry: P-4m2 (115)

Unit cell a=4.848 b=4.848 c=11.498 alpha=90.00 beta=90.00 gamma=90.00
Fractional positions:
Ba: 0.500 0.000 0.241
Ba: 0.000 0.500 0.759
Sn: 0.500 0.500 0.000
Sn: 0.000 0.000 0.000
Sn: 0.500 0.000 0.652
Sn: 0.000 0.500 0.348
Bi: 0.500 0.500 0.500
Pd: 0.000 0.000 0.500
Pd: 0.500 0.000 0.884
Pd: 0.000 0.500 0.116

---

The following is a DFT calculation (PBE-GGA) of crystalline Ba3SnBi2Pd9 at its relaxed geometry.

VASP energy, eV/atom: -4.67
Energy relative to the elements, eV/atom: -0.384
Density of states at the Fermi level, states/eV per cell: 1.64
Symmetry: P-3m1 (164)

Unit cell a=7.009 b=7.009 c=9.697 alpha=90.00 beta=90.00 gamma=120.00
Fractional positions:
Ba: 0.333 0.667 0.701
Ba: 0.000 0.000 0.000
Ba: 0.667 0.333 0.299
Sn: 0.000 0.000 0.500
Bi: 0.333 0.667 0.190
Bi: 0.667 0.333 0.810
Pd: 0.869 0.131 0.715
Pd: 0.869 0.739 0.715
Pd: 0.261 0.131 0.715
Pd: 0.739 0.869 0.285
Pd: 0.131 0.261 0.285
Pd: 0.131 0.869 0.285
Pd: 0.500 0.000 0.000
Pd: 0.000 0.500 0.000
Pd: 0.500 0.500 0.000

---

The following is a DFT calculation (PBE-GGA) of crystalline Ba2TlBiPd6 at its relaxed geometry.

VASP energy, eV/atom: -4.56
Energy relative to the elements, eV/atom: -0.437
Density of states at the Fermi level, states/eV per cell: 5.26
Symmetry: C2/m (12)

Unit cell a=7.213 b=7.273 c=9.238 alpha=50.09 beta=50.66 gamma=82.49
Fractional positions:
Ba: 0.746 0.254 0.538
Ba: 0.254 0.746 0.462
Tl: 0.000 0.000 0.000
Bi: 0.500 0.500 0.000
Pd: 0.263 0.225 0.502
Pd: 0.775 0.736 0.991
Pd: 0.248 0.752 0.842
Pd: 0.752 0.248 0.158
Pd: 0.225 0.264 0.009
Pd: 0.737 0.775 0.498

---

The following is a DFT calculation (PBE-GGA) of crystalline Ba2TlBi3Pd4 at its relaxed geometry.

VASP energy, eV/atom: -4.45
Energy relative to the elements, eV/atom: -0.586
Density of states at the Fermi level, states/eV per cell: 5.71
Symmetry: P-4m2 (115)

Unit cell a=4.936 b=4.936 c=11.061 alpha=90.00 beta=90.00 gamma=90.00
Fractional positions:
Ba: 0.500 0.000 0.242
Ba: 0.000 0.500 0.758
Tl: 0.500 0.500 0.500
Bi: 0.000 0.000 0.500
Bi: 0.500 0.000 0.878
Bi: 0.000 0.500 0.122
Pd: 0.500 0.500 0.000
Pd: 0.000 0.000 0.000
Pd: 0.500 0.000 0.628
Pd: 0.000 0.500 0.372

---

The following is a DFT calculation (PBE-GGA) of crystalline BaTlBiPd3 at its relaxed geometry.

VASP energy, eV/atom: -4.27
Energy relative to the elements, eV/atom: -0.314
Density of states at the Fermi level, states/eV per cell: 5.48
Symmetry: Cmcm (63)

Unit cell a=6.792 b=7.008 c=7.475 alpha=117.95 beta=90.00 gamma=90.00
Fractional positions:
Ba: 0.750 0.301 0.602
Ba: 0.250 0.699 0.398
Tl: 0.250 0.959 0.918
Tl: 0.750 0.041 0.082
Bi: 0.250 0.373 0.746
Bi: 0.750 0.627 0.254
Pd: 0.250 0.167 0.334
Pd: 0.000 0.294 0.000
Pd: 0.500 0.706 0.000
Pd: 0.500 0.294 0.000
Pd: 0.000 0.706 0.000
Pd: 0.750 0.833 0.666

---

The following is a DFT calculation (PBE-GGA) of crystalline BaTl2BiPd at its relaxed geometry.

E above lowest polymorph, meV/atom: 0.0
VASP energy, eV/atom: -3.47
Energy relative to the elements, eV/atom: -0.319
Density of states at the Fermi level, states/eV per cell: 3.71
Symmetry: P4/mmm (123)

Unit cell a=5.335 b=5.335 c=6.046 alpha=90.00 beta=90.00 gamma=90.00
Fractional positions:
Tl: 0.000 0.500 0.000
Tl: 0.500 0.000 0.000
Bi: 0.500 0.500 0.500
Pd: 0.000 0.000 0.000
Ba: 0.000 0.000 0.500

---

The following is a DFT calculation (PBE-GGA) of crystalline BaTl2BiPd at its relaxed geometry.

E above lowest polymorph, meV/atom: 14.1
VASP energy, eV/atom: -3.45
Energy relative to the elements, eV/atom: -0.305
Density of states at the Fermi level, states/eV per cell: 2.81
Symmetry: P4/mmm (123)

Unit cell a=5.365 b=5.365 c=5.790 alpha=90.00 beta=90.00 gamma=90.00
Fractional positions:
Tl: 0.000 0.500 0.000
Tl: 0.500 0.000 0.000
Bi: 0.000 0.000 0.500
Pd: 0.000 0.000 0.000
Ba: 0.500 0.500 0.500

---

The following is a DFT calculation (PBE-GGA) of crystalline Ba5PmBi5 at its relaxed geometry.

VASP energy, eV/atom: -3.82
Energy relative to the elements, eV/atom: -0.753
Density of states at the Fermi level, states/eV per cell: 9.86
Symmetry: C2/m (12)

Unit cell a=6.993 b=8.919 c=9.670 alpha=106.58 beta=90.00 gamma=113.08
Fractional positions:
Ba: 0.685 0.370 0.321
Ba: 0.672 0.345 0.845
Ba: 0.000 0.000 0.500
Ba: 0.328 0.655 0.155
Ba: 0.315 0.630 0.679
Pm: 0.000 0.000 0.000
Bi: 0.852 0.704 0.157
Bi: 0.845 0.689 0.681
Bi: 0.500 0.000 0.000
Bi: 0.155 0.311 0.319
Bi: 0.148 0.296 0.843

---

The following is a DFT calculation (PBE-GGA) of crystalline BaPm3Bi3 at its relaxed geometry.

VASP energy, eV/atom: -4.57
Energy relative to the elements, eV/atom: -0.591
Density of states at the Fermi level, states/eV per cell: 10.58
Symmetry: R-3 (148)

Unit cell a=9.131 b=9.131 c=9.989 alpha=62.80 beta=62.80 gamma=60.00
Fractional positions:
Ba: 0.333 0.333 0.000
Ba: 0.667 0.667 0.000
Pm: 0.411 0.825 0.642
Pm: 0.825 0.122 0.642
Pm: 0.122 0.411 0.642
Pm: 0.878 0.589 0.358
Pm: 0.175 0.878 0.358
Pm: 0.589 0.175 0.358
Bi: 0.283 0.545 0.256
Bi: 0.915 0.283 0.256
Bi: 0.545 0.915 0.256
Bi: 0.455 0.085 0.744
Bi: 0.085 0.717 0.744
Bi: 0.717 0.455 0.744